Record 1
A plane-wave DFT calculation with PBE-GGA was carried out for a geometry-optimized Hf2Be2Ga structure.

Calculated values
Energy of formation from the pure elements (eV per atom): -0.3593
DOS at the Fermi energy (states/eV/atom): 0.40
E (eV/atom): -6.44
ΔE to the lowest computed polymorph (kJ per mole of atoms): 0.0
Space-group type: P4/mbm (127)

a = 6.2041 Å, b = 6.2041 Å, c = 3.9062 Å
α = 90.00°, β = 90.00°, γ = 90.00°
Atoms (fractional coordinates):
Hf  0.1693  0.3307  0.0000
Hf  0.3307  0.8307  0.0000
Hf  0.6693  0.1693  0.0000
Hf  0.8307  0.6693  0.0000
Be  0.1228  0.6228  0.5000
Be  0.3772  0.1228  0.5000
Be  0.6228  0.8772  0.5000
Be  0.8772  0.3772  0.5000
Ga  0.0000  0.0000  0.5000
Ga  0.5000  0.5000  0.5000

Record 2
A plane-wave DFT calculation with PBE-GGA was carried out for a geometry-optimized Cs12Zn5Au3 structure.

Calculated values
Energy of formation from the pure elements (eV per atom): 0.1337
DOS at the Fermi energy (states/eV/atom): 1.28
E (eV/atom): -1.19
Space-group type: Ia-3d (230)

a = 18.9058 Å, b = 18.9058 Å, c = 18.9058 Å
α = 109.47°, β = 109.47°, γ = 109.47°
Atoms (fractional coordinates):
Cs  0.0565  0.2303  0.1295
Cs  0.0565  0.3262  0.9271
Cs  0.0729  0.6295  0.3992
Cs  0.0729  0.9435  0.6738
Cs  0.1008  0.7303  0.6738
Cs  0.1008  0.8705  0.4271
Cs  0.1295  0.0565  0.2303
Cs  0.1295  0.5729  0.8992
Cs  0.1738  0.2303  0.6008
Cs  0.1738  0.4435  0.5729
Cs  0.2303  0.1295  0.0565
Cs  0.2303  0.6008  0.1738
Cs  0.2697  0.3262  0.8992
Cs  0.2697  0.4435  0.3705
Cs  0.3262  0.8992  0.2697
Cs  0.3262  0.9271  0.0565
Cs  0.3705  0.2697  0.4435
Cs  0.3705  0.6008  0.9271
Cs  0.3992  0.0729  0.6295
Cs  0.3992  0.8262  0.7697
Cs  0.4271  0.1008  0.8705
Cs  0.4271  0.8262  0.5565
Cs  0.4435  0.3705  0.2697
Cs  0.4435  0.5729  0.1738
Cs  0.5565  0.4271  0.8262
Cs  0.5565  0.6295  0.7303
Cs  0.5729  0.1738  0.4435
Cs  0.5729  0.8992  0.1295
Cs  0.6008  0.1738  0.2303
Cs  0.6008  0.9271  0.3705
Cs  0.6295  0.3992  0.0729
Cs  0.6295  0.7303  0.5565
Cs  0.6738  0.0729  0.9435
Cs  0.6738  0.1008  0.7303
Cs  0.7303  0.5565  0.6295
Cs  0.7303  0.6738  0.1008
Cs  0.7697  0.3992  0.8262
Cs  0.7697  0.8705  0.9435
Cs  0.8262  0.5565  0.4271
Cs  0.8262  0.7697  0.3992
Cs  0.8705  0.4271  0.1008
Cs  0.8705  0.9435  0.7697
Cs  0.8992  0.1295  0.5729
Cs  0.8992  0.2697  0.3262
Cs  0.9271  0.0565  0.3262
Cs  0.9271  0.3705  0.6008
Cs  0.9435  0.6738  0.0729
Cs  0.9435  0.7697  0.8705
Zn  0.0000  0.0000  0.0000
Zn  0.0000  0.0000  0.5000
Zn  0.0000  0.5000  0.0000
Zn  0.0000  0.5000  0.5000
Zn  0.1250  0.7500  0.8750
Zn  0.1250  0.8750  0.2500
Zn  0.2500  0.1250  0.8750
Zn  0.2500  0.6250  0.3750
Zn  0.3750  0.2500  0.6250
Zn  0.3750  0.6250  0.7500
Zn  0.5000  0.0000  0.0000
Zn  0.5000  0.0000  0.5000
Zn  0.5000  0.5000  0.0000
Zn  0.5000  0.5000  0.5000
Zn  0.6250  0.3750  0.2500
Zn  0.6250  0.7500  0.3750
Zn  0.7500  0.3750  0.6250
Zn  0.7500  0.8750  0.1250
Zn  0.8750  0.1250  0.7500
Zn  0.8750  0.2500  0.1250
Au  0.1250  0.2500  0.3750
Au  0.1250  0.3750  0.7500
Au  0.2500  0.3750  0.1250
Au  0.2500  0.8750  0.6250
Au  0.3750  0.1250  0.2500
Au  0.3750  0.7500  0.1250
Au  0.6250  0.2500  0.8750
Au  0.6250  0.8750  0.7500
Au  0.7500  0.1250  0.3750
Au  0.7500  0.6250  0.8750
Au  0.8750  0.6250  0.2500
Au  0.8750  0.7500  0.6250

Record 3
A plane-wave DFT calculation with PBE-GGA was carried out for a geometry-optimized K2PuCdO6 structure.

Calculated values
DOS at the Fermi energy (states/eV/atom): 0.57
E (eV/atom): -6.54
Space-group type: Fm-3m (225)
ΔE_f (raw) (eV/atom): -1.82

a = 6.0599 Å, b = 6.0599 Å, c = 6.0599 Å
α = 60.00°, β = 60.00°, γ = 60.00°
Atoms (fractional coordinates):
K  0.2500  0.2500  0.2500
K  0.7500  0.7500  0.7500
Pu  0.0000  0.0000  0.0000
Cd  0.5000  0.5000  0.5000
O  0.2311  0.2311  0.7689
O  0.2311  0.7689  0.2311
O  0.2311  0.7689  0.7689
O  0.7689  0.2311  0.2311
O  0.7689  0.2311  0.7689
O  0.7689  0.7689  0.2311

Record 4
A plane-wave DFT calculation with PBE-GGA was carried out for a geometry-optimized CdHg2HPd6 structure.

Calculated values
DOS at the Fermi energy (states/eV/atom): 0.27
E (eV/atom): -3.79
Space-group type: P1 (1)

a = 4.1827 Å, b = 4.9832 Å, c = 8.5964 Å
α = 104.94°, β = 90.18°, γ = 114.71°
Atoms (fractional coordinates):
Cd  0.0000  0.0000  0.0000
Hg  0.3162  0.6308  0.7709
Hg  0.6827  0.3639  0.2301
H  0.4250  0.0124  0.6112
Pd  0.0104  0.0204  0.3332
Pd  0.3398  0.6770  0.4427
Pd  0.3411  0.6820  0.1111
Pd  0.6598  0.3189  0.8895
Pd  0.6722  0.3377  0.5510
Pd  0.9886  0.9853  0.6630

Record 5
A plane-wave DFT calculation with PBE-GGA was carried out for a geometry-optimized Ba2TlIn3Au4 structure.

Calculated values
Energy of formation from the pure elements (eV per atom): -0.5095
DOS at the Fermi energy (states/eV/atom): 0.45
E (eV/atom): -3.26
Space-group type: P-4m2 (115)

a = 4.9647 Å, b = 4.9647 Å, c = 11.2246 Å
α = 90.00°, β = 90.00°, γ = 90.00°
Atoms (fractional coordinates):
Ba  0.0000  0.5000  0.2426
Ba  0.5000  0.0000  0.7574
Tl  0.0000  0.0000  0.5000
In  0.0000  0.5000  0.8825
In  0.5000  0.0000  0.1175
In  0.5000  0.5000  0.5000
Au  0.0000  0.0000  0.0000
Au  0.0000  0.5000  0.6372
Au  0.5000  0.0000  0.3628
Au  0.5000  0.5000  0.0000

Record 6
A plane-wave DFT calculation with PBE-GGA was carried out for a geometry-optimized Na2TbPdO4 structure.

Calculated values
DOS at the Fermi energy (states/eV/atom): 0.19
E (eV/atom): -5.80
Space-group type: P2/m (10)
ΔE_f (raw) (eV/atom): -1.77

a = 5.4653 Å, b = 3.4194 Å, c = 5.8894 Å
α = 90.00°, β = 108.60°, γ = 90.00°
Atoms (fractional coordinates):
Na  0.0000  0.0000  0.0000
Na  0.5000  0.5000  0.0000
Tb  0.0000  0.5000  0.5000
Pd  0.5000  0.0000  0.5000
O  0.2523  0.0000  0.7125
O  0.2731  0.5000  0.2793
O  0.7269  0.5000  0.7207
O  0.7477  0.0000  0.2875